Version a
Entry from Alexandria via LeMat-Bulk: an optimized crystal structure of SbO2F2 (PBE).

For the theoretical density, the calculation gives 5204 kg/m3. For the density of states at the Fermi level, the calculation gives 5.1 states/eV/cell.

It has space group P4/mmm (No. 123), with a = 3.867 Å, b = 3.867 Å, c = 4.091 Å, α = 90.00°, β = 90.00° and γ = 90.00°. The asymmetric unit holds Sb at (0.000, 0.000, 0.000), O at (0.000, 0.500, 0.000), F at (0.000, 0.000, 0.500) and F at (0.500, 0.500, 0.500).


Version b
Entry from Alexandria via LeMat-Bulk: an optimized crystal structure of SbO2F2 (PBE).

For the theoretical density, the calculation gives 5569 kg/m3. For the density of states at the Fermi level, the calculation gives 2.5 states/eV/cell.

It has space group P4/mmm (No. 123), with a = 3.678 Å, b = 3.678 Å, c = 4.226 Å, α = 90.00°, β = 90.00° and γ = 90.00°. The asymmetric unit holds Sb at (0.000, 0.000, 0.000), O at (0.000, 0.500, 0.500), F at (0.500, 0.500, 0.000) and F at (0.500, 0.500, 0.500).


Version c
Entry from Alexandria via LeMat-Bulk: an optimized crystal structure of SbO2F2 (PBE).

For the theoretical density, the calculation gives 5463 kg/m3. For the density of states at the Fermi level, the calculation gives 1.6 states/eV/cell.

It has space group P4/mmm (No. 123), with a = 3.981 Å, b = 3.981 Å, c = 3.678 Å, α = 90.00°, β = 90.00° and γ = 90.00°. The asymmetric unit holds Sb at (0.000, 0.000, 0.000), O at (0.500, 0.500, 0.000), O at (0.500, 0.500, 0.500) and F at (0.000, 0.500, 0.500).


It turns out version a is the most stable, with the second structure 969 meV per atom higher.